# 1
# Nd3GaPb

A relaxed structure of Nd3GaPb (PBE, Alexandria).

```
20
Lattice="8.856 -0.324 -0.242 0.281 8.392 -0.911 0.281 1.497 8.308" Properties=species:S:1:pos:R:3 pbc="T T T"
Nd 1.081 6.588 3.485
Nd 5.398 6.537 -0.855
Nd 8.448 8.377 0.521
Pb 6.923 5.736 2.133
Pb 2.495 7.274 0.415
Ga 8.052 6.831 5.757
Nd 6.335 8.437 3.732
Nd 0.970 1.189 6.634
Nd 4.020 3.028 8.010
Nd 5.508 5.042 5.214
Ga 3.624 7.614 5.048
Pb 6.923 2.291 6.740
Ga 1.367 2.735 1.398
Nd 7.511 3.440 -0.006
Ga 5.795 1.952 2.107
Nd 1.907 6.126 7.161
Nd 3.910 4.523 1.941
Nd 8.338 2.978 3.670
Nd 3.084 1.128 3.423
Pb 2.495 3.829 5.021
```

## Properties
The value obtained for the density is 7472 kg/m3. As for the volume: 630.8 Å³ per cell. For the density of states at the Fermi level, the calculation gives 4.622 states/eV/f.u.


# 2
# Nd3Ga2Pb

A relaxed structure of Nd3Ga2Pb (PBE, Alexandria).

```
6
Lattice="3.969 0.000 -1.256 0.000 4.848 0.000 0.504 0.000 8.496" Properties=species:S:1:pos:R:3 pbc="T T T"
Ga 3.493 2.424 4.140
Pb 0.000 0.000 0.000
Ga 0.981 2.424 3.100
Nd 1.662 0.000 5.255
Nd 1.985 2.424 -0.628
Nd 2.811 0.000 1.986
```

## Properties
The value obtained for the density is 7771 kg/m3. As for the volume: 166.5 Å³ per cell. For the density of states at the Fermi level, the calculation gives 4.327 states/eV/f.u.


# 3
# Nd8GaPb2

A relaxed structure of Nd8GaPb2 (PBE, Alexandria).

```
11
Lattice="5.294 0.000 0.000 0.000 6.969 0.135 -2.647 -2.768 9.508" Properties=species:S:1:pos:R:3 pbc="T T T"
Pb 0.000 4.278 3.473
Nd 2.647 2.783 1.768
Nd 2.647 3.150 5.526
Pb 2.647 -0.077 6.170
Nd 2.647 -1.135 9.319
Nd 2.647 -0.838 2.912
Nd 0.000 5.039 6.730
Nd 0.000 5.335 0.323
Nd 0.000 1.418 7.875
Ga 2.647 0.000 0.000
Nd 0.000 1.050 4.117
```

## Properties
The value obtained for the density is 7711 kg/m3. As for the volume: 352.8 Å³ per cell. For the density of states at the Fermi level, the calculation gives 12.345 states/eV/f.u.


# 4
# NdGa4Pb

A relaxed structure of NdGa4Pb (PBE, Alexandria).

```
6
Lattice="5.706 0.000 0.000 2.853 4.941 0.000 2.853 1.647 4.659" Properties=species:S:1:pos:R:3 pbc="T T T"
Nd 2.853 1.647 1.165
Ga 4.278 4.119 2.912
Ga 7.134 4.119 2.912
Ga 5.706 3.294 0.580
Ga 5.706 1.645 2.912
Pb 0.000 0.000 0.000
```

## Properties
The value obtained for the density is 7969 kg/m3. As for the volume: 131.3 Å³ per cell. For the density of states at the Fermi level, the calculation gives 3.806 states/eV/f.u.


# 5
# Nd12Ga5Pb

A relaxed structure of Nd12Ga5Pb (PBE, Alexandria).

```
18
Lattice="-3.584 4.268 6.980 -5.763 -0.812 -6.776 2.239 -8.431 1.921" Properties=species:S:1:pos:R:3 pbc="T T T"
Ga -3.367 1.245 0.074
Pb -1.762 -4.622 -2.428
Ga -1.090 -3.177 3.875
Ga 0.000 0.000 0.000
Nd -2.653 -1.439 -1.074
Nd -2.796 -7.522 -0.665
Nd -1.525 -4.189 1.086
Nd -2.548 1.465 5.826
Nd -5.045 -4.450 -0.372
Nd -5.583 -0.786 1.039
Ga -6.018 -1.798 -1.750
Nd -2.665 -2.387 6.478
Nd -4.455 -3.536 3.199
Ga -5.980 2.211 0.131
Nd -4.312 2.547 2.790
Nd -2.063 -0.525 2.497
Nd -4.559 -6.440 -3.701
Nd -4.443 -2.588 -4.353
```

## Properties
The value obtained for the density is 6971 kg/m3. As for the volume: 544.7 Å³ per cell. For the density of states at the Fermi level, the calculation gives 14.698 states/eV/f.u.


# 6
# NdGaPb2

A relaxed structure of NdGaPb2 (PBE, Alexandria).

```
4
Lattice="4.890 0.000 0.000 0.000 4.714 0.000 0.000 0.000 4.714" Properties=species:S:1:pos:R:3 pbc="T T T"
Pb 0.000 0.000 2.357
Nd 2.445 2.357 2.357
Ga 2.445 0.000 0.000
Pb 0.000 2.357 0.000
```

## Properties
The polymorph energy (0 for the lowest one) comes out at 0 meV per atom. The value obtained for the density is 9604 kg/m3. As for the volume: 108.6 Å³ per cell. For the density of states at the Fermi level, the calculation gives 1.281 states/eV/f.u.


# 7
# Nd7Ga2Pb2

A relaxed structure of Nd7Ga2Pb2 (PBE, Alexandria).

```
11
Lattice="-1.663 1.220 -6.837 -0.484 -7.356 -1.195 -6.043 -0.219 3.799" Properties=species:S:1:pos:R:3 pbc="T T T"
Nd -5.034 -4.198 -5.799
Pb -6.543 -2.860 -3.081
Nd -3.968 -1.246 -1.803
Ga -5.295 -7.170 -0.389
Nd -4.223 -5.110 -2.430
Nd -3.156 -2.157 1.567
Nd 0.000 0.000 0.000
Nd -1.181 -4.699 -4.281
Ga -2.896 0.815 -3.843
Pb -1.648 -3.496 -1.151
Nd -7.009 -1.657 0.048
```

## Properties
The value obtained for the density is 7189 kg/m3. As for the volume: 361.2 Å³ per cell. For the density of states at the Fermi level, the calculation gives 11.795 states/eV/f.u.


# 8
# NdGaPb2

A relaxed structure of NdGaPb2 (PBE, Alexandria).

```
4
Lattice="3.581 0.000 0.000 1.790 3.101 0.000 1.790 1.034 11.034" Properties=species:S:1:pos:R:3 pbc="T T T"
Pb 5.371 3.101 3.231
Pb 1.790 1.034 7.803
Ga 3.581 2.067 5.517
Nd 0.000 0.000 0.000
```

## Properties
The polymorph energy (0 for the lowest one) comes out at 491 meV per atom. The value obtained for the density is 8517 kg/m3. As for the volume: 122.5 Å³ per cell. For the density of states at the Fermi level, the calculation gives 3.322 states/eV/f.u.


no.,total magnetization (μB per atom),energy of formation (meV per atom)
1,0.000,-388
2,0.000,-476
3,0.000,-292
4,0.000,-250
5,0.000,-406
6,0.000,-384
7,0.000,-217
8,0.000,107